# 1
Below is a relaxed structure of Cu2Au3, with properties calculated at the PBE level.

formation energy = -0.02 eV per atom
DOS(E_F) = 0.30 states/eV/atom
theoretical density = 15.06 g/cm³
energy relative to the lowest polymorph listed for this composition = 24 meV/atom
SG = C2/m
VASP energy = -18.13 eV per cell

Structure (POSCAR):
```
Cu2Au3
1.0
4.388 -2.003 0.000
4.388 2.003 0.000
-4.080 0.000 4.502
Cu Au
2 3
Direct
0.094 0.094 0.291
0.906 0.906 0.709
0.298 0.298 0.881
0.500 0.500 0.500
0.702 0.702 0.119
```


# 2
Below is a relaxed structure of Na3Zn2Ga9, with properties calculated at the PBE level.

formation energy = -0.11 eV per atom
DOS(E_F) = 0.32 states/eV/atom
theoretical density = 5.04 g/cm³
SG = Immm
VASP energy = -35.29 eV per cell

Structure (POSCAR):
```
Na3Zn2Ga9
1.0
-2.233 4.831 6.315
2.233 -4.831 6.315
2.233 4.831 -6.315
Na Zn Ga
3 2 9
Direct
0.000 0.000 0.000
0.293 0.293 0.000
0.707 0.707 0.000
0.328 0.500 0.828
0.672 0.500 0.172
0.018 0.653 0.364
0.139 0.857 0.282
0.289 0.653 0.636
0.425 0.143 0.282
0.500 0.000 0.500
0.575 0.857 0.718
0.711 0.347 0.364
0.861 0.143 0.718
0.982 0.347 0.636
```


# 3
Below is a relaxed structure of Ca2MgPb, with properties calculated at the PBE level.

formation energy = 0.22 eV per atom
DOS(E_F) = 0.90 states/eV/atom
theoretical density = 3.61 g/cm³
SG = Immm
VASP energy = -8.43 eV per cell

Structure (POSCAR):
```
Ca2MgPb
1.0
-1.791 3.027 6.601
1.791 -3.027 6.601
1.791 3.027 -6.601
Ca Mg Pb
2 1 1
Direct
0.241 0.241 0.000
0.759 0.759 0.000
0.500 0.500 0.000
0.000 0.000 0.000
```


# 4
Below is a relaxed structure of UCr2W, with properties calculated at the PBE level.

formation energy = 0.28 eV per atom
DOS(E_F) = 1.70 states/eV/atom
theoretical density = 13.95 g/cm³
SG = P4/mmm
VASP energy = -42.36 eV per cell

Structure (POSCAR):
```
UCr2W
1.0
2.963 0.000 0.000
0.000 2.963 0.000
0.000 0.000 7.127
U Cr W
1 2 1
Direct
0.000 0.000 0.000
0.500 0.500 0.288
0.500 0.500 0.712
0.000 0.000 0.500
```


# 5
Below is a relaxed structure of BaZnSeN2, with properties calculated at the PBE level.

DOS(E_F) = 0.40 states/eV/atom
theoretical density = 5.08 g/cm³
energy relative to the lowest polymorph listed for this composition = 0 meV/atom
SG = P4/mmm
VASP energy = -20.50 eV per cell
energy relative to the elements, uncorrected = 0.5659 eV per atom

Structure (POSCAR):
```
BaZnSeN2
1.0
4.469 0.000 0.000
0.000 4.469 0.000
0.000 0.000 5.065
Ba Zn Se N
1 1 1 2
Direct
0.000 0.000 0.000
0.500 0.500 0.500
0.500 0.500 0.000
0.000 0.500 0.500
0.500 0.000 0.500
```


# 6
Below is a relaxed structure of CuHgAu2, with properties calculated at the PBE level.

formation energy = 0.07 eV per atom
DOS(E_F) = 0.12 states/eV/atom
theoretical density = 15.43 g/cm³
SG = Pmm2
VASP energy = -10.69 eV per cell

Structure (POSCAR):
```
CuHgAu2
1.0
3.002 0.000 0.000
0.000 3.637 0.000
0.000 0.000 6.485
Cu Hg Au
1 1 2
Direct
0.000 0.000 0.000
0.500 0.500 0.248
0.000 0.000 0.530
0.500 0.500 0.794
```


# 7
Below is a relaxed structure of MgPtAu2C, with properties calculated at the PBE level.

formation energy = 0.43 eV per atom
DOS(E_F) = 0.42 states/eV/atom
theoretical density = 13.27 g/cm³
SG = P4/mmm
VASP energy = -21.26 eV per cell

Structure (POSCAR):
```
MgPtAu2C
1.0
4.267 0.000 0.000
0.000 4.267 0.000
0.000 0.000 4.297
Mg Pt Au C
1 1 2 1
Direct
0.000 0.000 0.000
0.500 0.500 0.000
0.000 0.500 0.500
0.500 0.000 0.500
0.000 0.000 0.500
```


# 8
Below is a relaxed structure of RbMgZr2, with properties calculated at the PBE level.

formation energy = 1.02 eV per atom
DOS(E_F) = 1.03 states/eV/atom
theoretical density = 4.19 g/cm³
SG = I-42d
VASP energy = -31.17 eV per cell

Structure (POSCAR):
```
RbMgZr2
1.0
-2.191 2.191 12.059
2.191 -2.191 12.059
2.191 2.191 -12.059
Rb Mg Zr
2 2 4
Direct
0.000 0.000 0.000
0.750 0.250 0.500
0.250 0.750 0.500
0.500 0.500 0.000
0.149 0.125 0.524
0.375 0.851 0.976
0.601 0.625 0.476
0.875 0.399 0.024
```


# 9
Below is a relaxed structure of MgMnTl, with properties calculated at the PBE level.

formation energy = 0.32 eV per atom
DOS(E_F) = 0.69 states/eV/atom
theoretical density = 7.72 g/cm³
SG = Imm2
VASP energy = -12.17 eV per cell

Structure (POSCAR):
```
MgMnTl
1.0
-1.623 2.116 4.444
1.623 -2.116 4.444
1.623 2.116 -4.444
Mg Mn Tl
1 1 1
Direct
0.000 0.000 0.000
0.658 0.658 0.000
0.326 0.326 0.000
```


# 10
Below is a relaxed structure of Ac2AgN2, with properties calculated at the PBE level.

DOS(E_F) = 0.42 states/eV/atom
theoretical density = 9.36 g/cm³
SG = I4/mmm
VASP energy = -31.57 eV per cell
energy relative to the elements, uncorrected = -0.7707 eV per atom

Structure (POSCAR):
```
Ac2AgN2
1.0
-1.955 1.955 6.846
1.955 -1.955 6.846
1.955 1.955 -6.846
Ac Ag N
2 1 2
Direct
0.152 0.152 0.000
0.848 0.848 0.000
0.500 0.500 0.000
0.334 0.334 0.000
0.666 0.666 0.000
```


# 11
Below is a relaxed structure of LiPm4Pd, with properties calculated at the PBE level.

formation energy = 0.04 eV per atom
DOS(E_F) = 1.69 states/eV/atom
theoretical density = 6.10 g/cm³
SG = C2/m
VASP energy = -25.86 eV per cell

Structure (POSCAR):
```
LiPm4Pd
1.0
3.520 -3.520 0.000
3.520 3.520 0.000
-0.018 0.000 7.622
Li Pm Pd
1 4 1
Direct
0.000 0.000 0.000
0.000 0.499 0.728
0.000 0.501 0.272
0.499 0.000 0.728
0.501 0.000 0.272
0.500 0.500 0.500
```


# 12
Below is a relaxed structure of Ca2IrOs, with properties calculated at the PBE level.

formation energy = 0.41 eV per atom
DOS(E_F) = 1.14 states/eV/atom
theoretical density = 10.07 g/cm³
energy relative to the lowest polymorph listed for this composition = 412 meV/atom
SG = F-43m
VASP energy = -22.47 eV per cell

Structure (POSCAR):
```
Ca2IrOs
1.0
0.000 3.366 3.366
3.366 0.000 3.366
3.366 3.366 0.000
Ca Ir Os
2 1 1
Direct
0.000 0.000 0.000
0.250 0.250 0.250
0.500 0.500 0.500
0.750 0.750 0.750
```


# 13
Below is a relaxed structure of NdDy6ErTm2, with properties calculated at the PBE level.

formation energy = 0.12 eV per atom
DOS(E_F) = 1.48 states/eV/atom
theoretical density = 8.45 g/cm³
SG = C2/c
VASP energy = -89.35 eV per cell

Structure (POSCAR):
```
NdDy6ErTm2
1.0
4.546 -7.474 0.000
4.546 7.474 0.000
-1.056 0.000 9.394
Nd Dy Er Tm
2 12 2 4
Direct
0.028 0.972 0.750
0.972 0.028 0.250
0.015 0.563 0.683
0.122 0.754 0.056
0.246 0.878 0.444
0.292 0.511 0.883
0.437 0.985 0.817
0.489 0.708 0.617
0.511 0.292 0.383
0.563 0.015 0.183
0.708 0.489 0.117
0.754 0.122 0.556
0.878 0.246 0.944
0.985 0.437 0.317
0.410 0.590 0.250
0.590 0.410 0.750
0.201 0.305 0.548
0.305 0.201 0.048
0.695 0.799 0.952
0.799 0.695 0.452
```


# 14
Below is a relaxed structure of PSe2, with properties calculated at the PBE level.

DOS(E_F) = 0.31 states/eV/atom
theoretical density = 5.16 g/cm³
energy relative to the lowest polymorph listed for this composition = 303 meV/atom
SG = P6_3/mmc
VASP energy = -22.76 eV per cell
energy relative to the elements, uncorrected = 0.3328 eV per atom

Structure (POSCAR):
```
PSe2
1.0
3.599 0.000 0.000
-1.799 3.117 0.000
0.000 0.000 10.842
P Se
2 4
Direct
0.000 0.000 0.250
0.000 0.000 0.750
0.333 0.667 0.097
0.333 0.667 0.403
0.667 0.333 0.597
0.667 0.333 0.903
```


# 15
Below is a relaxed structure of K2HgSb, with properties calculated at the PBE level.

DOS(E_F) = 0.33 states/eV/atom
theoretical density = 4.77 g/cm³
energy relative to the lowest polymorph listed for this composition = 70 meV/atom
SG = I4/mmm
VASP energy = -7.69 eV per cell
energy relative to the elements, uncorrected = -0.2669 eV per atom

Structure (POSCAR):
```
K2HgSb
1.0
-2.688 2.688 4.824
2.688 -2.688 4.824
2.688 2.688 -4.824
K Hg Sb
2 1 1
Direct
0.250 0.750 0.500
0.750 0.250 0.500
0.000 0.000 0.000
0.500 0.500 0.000
```


# 16
Below is a relaxed structure of Ac4Ge2H, with properties calculated at the PBE level.

DOS(E_F) = 0.99 states/eV/atom
theoretical density = 8.24 g/cm³
energy relative to the lowest polymorph listed for this composition = 0 meV/atom
SG = I4/mmm
VASP energy = -32.27 eV per cell

Structure (POSCAR):
```
Ac4Ge2H
1.0
-2.467 2.467 8.729
2.467 -2.467 8.729
2.467 2.467 -8.729
Ac Ge H
4 2 1
Direct
0.000 0.500 0.500
0.184 0.184 0.000
0.500 0.000 0.500
0.816 0.816 0.000
0.367 0.367 0.000
0.633 0.633 0.000
0.000 0.000 0.000
```


# 17
Below is a relaxed structure of FeTc2Ru, with properties calculated at the PBE level.

formation energy = 0.63 eV per atom
DOS(E_F) = 1.36 states/eV/atom
theoretical density = 9.80 g/cm³
energy relative to the lowest polymorph listed for this composition = 624 meV/atom
SG = I-42d
VASP energy = -71.91 eV per cell

Structure (POSCAR):
```
FeTc2Ru
1.0
-1.844 1.844 8.797
1.844 -1.844 8.797
1.844 1.844 -8.797
Fe Tc Ru
2 4 2
Direct
0.000 0.000 0.000
0.750 0.250 0.500
0.095 0.625 0.970
0.375 0.345 0.470
0.655 0.125 0.030
0.875 0.905 0.530
0.250 0.750 0.500
0.500 0.500 0.000
```


# 18
Below is a relaxed structure of Pu2Be4Ir5, with properties calculated at the PBE level.

formation energy = -0.49 eV per atom
DOS(E_F) = 2.15 states/eV/atom
theoretical density = 14.88 g/cm³
SG = Fmmm
VASP energy = -93.23 eV per cell

Structure (POSCAR):
```
Pu2Be4Ir5
1.0
0.000 4.758 6.159
2.829 0.000 6.159
2.829 4.758 0.000
Pu Be Ir
2 4 5
Direct
0.131 0.131 0.869
0.869 0.869 0.131
0.212 0.522 0.478
0.478 0.788 0.212
0.522 0.212 0.788
0.788 0.478 0.522
0.000 0.000 0.500
0.250 0.250 0.250
0.500 0.500 0.000
0.500 0.500 0.500
0.750 0.750 0.750
```


# 19
Below is a relaxed structure of NdPRh3, with properties calculated at the PBE level.

formation energy = -0.76 eV per atom
DOS(E_F) = 0.59 states/eV/atom
theoretical density = 9.53 g/cm³
energy relative to the lowest polymorph listed for this composition = 117 meV/atom
SG = Cmcm
VASP energy = -72.06 eV per cell

Structure (POSCAR):
```
NdPRh3
1.0
2.849 -5.722 0.000
2.849 5.722 0.000
0.000 0.000 5.170
Nd P Rh
2 2 6
Direct
0.092 0.908 0.750
0.908 0.092 0.250
0.326 0.674 0.250
0.674 0.326 0.750
0.088 0.442 0.750
0.442 0.088 0.250
0.500 0.500 0.000
0.500 0.500 0.500
0.558 0.912 0.750
0.912 0.558 0.250
```


# 20
Below is a relaxed structure of ScOsBr, with properties calculated at the PBE level.

DOS(E_F) = 0.78 states/eV/atom
theoretical density = 9.81 g/cm³
energy relative to the lowest polymorph listed for this composition = 218 meV/atom
SG = P-6m2
VASP energy = -18.70 eV per cell
energy relative to the elements, uncorrected = 0.1784 eV per atom

Structure (POSCAR):
```
ScOsBr
1.0
4.382 0.000 0.000
-2.191 3.795 0.000
0.000 0.000 3.207
Sc Os Br
1 1 1
Direct
0.000 0.000 0.000
0.667 0.333 0.500
0.333 0.667 0.500
```